# 1
La2Nd2H after structural relaxation. Source: the Alexandria database, functional GGA-PBE.

E above lowest polymorph = 3 meV/atom
SG = P4/mmm, No. 123
E_tot = -4.73 eV/atom

Unit cell a=5.250 b=5.250 c=5.223 alpha=90.00 beta=90.00 gamma=90.00
Sites, in units of the cell vectors:
La 0.000 0.500 0.000
La 0.500 0.000 0.000
Nd 0.000 0.000 0.500
Nd 0.500 0.500 0.500
H 0.000 0.000 0.000

# 2
La2Nd4H after structural relaxation. Source: the Alexandria database, functional GGA-PBE.

SG = I4/mmm, No. 139
E_tot = -4.56 eV/atom

Unit cell a=9.631 b=9.631 c=9.631 alpha=149.85 beta=149.85 gamma=43.16
Sites, in units of the cell vectors:
La 0.150 0.150 0.000
La 0.850 0.850 0.000
Nd 0.000 0.500 0.500
Nd 0.350 0.350 0.000
Nd 0.500 0.000 0.500
Nd 0.650 0.650 0.000
H 0.500 0.500 0.000

# 3
La4Nd2H after structural relaxation. Source: the Alexandria database, functional GGA-PBE.

SG = I4/mmm, No. 139
E_tot = -4.61 eV/atom

Unit cell a=9.586 b=9.586 c=9.586 alpha=149.34 beta=149.34 gamma=43.91
Sites, in units of the cell vectors:
La 0.000 0.500 0.500
La 0.156 0.156 0.000
La 0.500 0.000 0.500
La 0.844 0.844 0.000
Nd 0.358 0.358 0.000
Nd 0.642 0.642 0.000
H 0.000 0.000 0.000

# 4
LaNdH after structural relaxation. Source: the Alexandria database, functional GGA-PBE.

E above lowest polymorph = 276 meV/atom
SG = P3_212, No. 153
E_tot = -4.28 eV/atom

Unit cell a=8.554 b=8.554 c=3.656 alpha=90.00 beta=90.00 gamma=120.00
Sites, in units of the cell vectors:
La 0.102 0.551 0.000
La 0.449 0.551 0.667
La 0.449 0.898 0.333
Nd 0.233 0.116 0.000
Nd 0.884 0.116 0.667
Nd 0.884 0.767 0.333
H 0.164 0.329 0.333
H 0.164 0.836 0.667
H 0.671 0.836 0.000

# 5
La2Nd2H after structural relaxation. Source: the Alexandria database, functional GGA-PBE.

E above lowest polymorph = 0 meV/atom
SG = P4/mmm, No. 123
E_tot = -4.73 eV/atom

Unit cell a=5.225 b=5.225 c=5.233 alpha=90.00 beta=90.00 gamma=90.00
Sites, in units of the cell vectors:
La 0.000 0.000 0.000
La 0.500 0.500 0.000
Nd 0.000 0.500 0.500
Nd 0.500 0.000 0.500
H 0.000 0.000 0.500

# 6
LaNdNi2H8 after structural relaxation. Source: the Alexandria database, functional GGA-PBE.

SG = R-3m, No. 166
E_tot = -4.34 eV/atom

Unit cell a=7.081 b=7.081 c=7.081 alpha=37.63 beta=37.63 gamma=37.63
Sites, in units of the cell vectors:
La 0.000 0.000 0.000
Nd 0.500 0.500 0.500
Ni 0.256 0.256 0.256
Ni 0.744 0.744 0.744
H 0.042 0.042 0.589
H 0.042 0.589 0.042
H 0.337 0.337 0.337
H 0.411 0.958 0.958
H 0.589 0.042 0.042
H 0.663 0.663 0.663
H 0.958 0.411 0.958
H 0.958 0.958 0.411

# 7
La2Nd4H2Pb3 after structural relaxation. Source: the Alexandria database, functional GGA-PBE.

SG = I4/mmm, No. 139
E_tot = -4.73 eV/atom

Unit cell a=13.631 b=13.631 c=13.631 alpha=159.32 beta=159.32 gamma=29.41
Sites, in units of the cell vectors:
La 0.199 0.199 0.000
La 0.801 0.801 0.000
Nd 0.082 0.582 0.500
Nd 0.418 0.918 0.500
Nd 0.582 0.082 0.500
Nd 0.918 0.418 0.500
H 0.101 0.101 0.000
H 0.899 0.899 0.000
Pb 0.326 0.326 0.000
Pb 0.500 0.500 0.000
Pb 0.674 0.674 0.000

# 8
La4Nd2H2Pb3 after structural relaxation. Source: the Alexandria database, functional GGA-PBE.

SG = I4/mmm, No. 139
E_tot = -4.73 eV/atom

Unit cell a=13.792 b=13.792 c=13.792 alpha=159.59 beta=159.59 gamma=29.02
Sites, in units of the cell vectors:
La 0.084 0.584 0.500
La 0.416 0.916 0.500
La 0.584 0.084 0.500
La 0.916 0.416 0.500
Nd 0.201 0.201 0.000
Nd 0.799 0.799 0.000
H 0.108 0.108 0.000
H 0.892 0.892 0.000
Pb 0.323 0.323 0.000
Pb 0.500 0.500 0.000
Pb 0.677 0.677 0.000